Entry 1:
Material: Hf2ZrPt2
Method: DFT, PBEsol
State: optimized geometry

Cell: 7.575 7.575 3.305 Å, 90.00 90.00 90.00°
Space group P4/mbm (No. 127)
One atom of each set of equivalent atoms:
1 Hf 0.167 0.333 0.000
2 Zr 0.000 0.000 0.500
3 Pt 0.131 0.631 0.500

Results
Energy of formation from the pure elements = -0.88 eV per atom



Entry 2:
Material: Hf3ZrPt
Method: DFT, PBEsol
State: optimized geometry

Cell: 4.900 4.900 4.900 Å, 90.00 90.00 90.00°
Space group Pm-3m (No. 221)
One atom of each set of equivalent atoms:
1 Hf 0.000 0.000 0.500
2 Zr 0.000 0.000 0.000
3 Pt 0.500 0.500 0.500

Results
Energy of formation from the pure elements = 1.32 eV per atom



Entry 3:
Material: HfZr2Pt2
Method: DFT, PBEsol
State: optimized geometry

Cell: 7.498 7.498 3.415 Å, 90.00 90.00 90.00°
Space group P4/mbm (No. 127)
One atom of each set of equivalent atoms:
1 Hf 0.000 0.000 0.000
2 Zr 0.170 0.330 0.500
3 Pt 0.131 0.631 0.000

Results
Energy of formation from the pure elements = -0.85 eV per atom



Entry 4:
Material: RbHfRe2Rh
Method: DFT, PBEsol
State: optimized geometry

Cell: 4.822 4.822 4.907 Å, 90.00 90.00 90.00°
Space group P4/mmm (No. 123)
One atom of each set of equivalent atoms:
1 Rb 0.000 0.000 0.000
2 Hf 0.500 0.500 0.000
3 Re 0.000 0.500 0.500
4 Rh 0.500 0.500 0.500

Results
Energy of formation from the pure elements = 1.74 eV per atom



Entry 5:
Material: RbHfTc2Ru
Method: DFT, PBEsol
State: optimized geometry

Cell: 4.460 4.460 4.770 Å, 90.00 90.00 90.00°
Space group P4/mmm (No. 123)
One atom of each set of equivalent atoms:
1 Rb 0.000 0.000 0.000
2 Hf 0.000 0.000 0.500
3 Tc 0.000 0.500 0.000
4 Ru 0.500 0.500 0.500

Results
Energy of formation from the pure elements = 3.03 eV per atom



Entry 6:
Material: RbHfS2
Method: DFT, PBEsol
State: optimized geometry

Cell: 6.774 6.774 6.774 Å, 90.00 90.00 90.00°
Space group Fm-3m (No. 225)
One atom of each set of equivalent atoms:
1 Rb 0.000 0.000 0.000
2 Hf 0.000 0.000 0.500
3 S 0.250 0.250 0.250

Results
Calculated total energy = -5.657 eV per atom